VASP calculation (PBE with a Hubbard U) on CrCd2SnO6 after structural relaxation.

```
CrCd2SnO6
1.0
5.356 0.000 0.000
0.000 5.356 0.000
0.000 0.000 4.863
Cr Cd Sn O
1 2 1 6
Direct
0.000 0.000 0.000
0.000 0.500 0.405
0.500 0.000 0.405
0.500 0.500 0.986
0.000 0.000 0.644
0.242 0.242 0.122
0.242 0.758 0.122
0.500 0.500 0.579
0.758 0.242 0.122
0.758 0.758 0.122
```

Properties
VASP energy ... -5.458 eV/atom
Magnetization ... 0.198 μB/atom